[1]
SrIn2SnS6, optimized geometry, DFT PBE-GGA; uncorrected formation energy = -744 meV/atom; calculated total energy = -43.37 eV for the cell shown; V = 24.62 A^3/atom; symmetry = R3; density of states at the Fermi level = 0.05 states/eV/cell
1.0
3.415 1.972 6.093
-3.415 1.972 6.093
0.000 -3.944 6.093
Sr In Sn S
1 2 1 6
Cartesian
0.000 0.000 0.000 Sr
0.000 0.000 5.060 In
0.000 0.000 14.412 In
0.000 0.000 8.761 Sn
-1.919 -0.280 7.076 S
-1.256 -1.938 10.028 S
1.202 -1.522 7.076 S
-1.050 2.057 10.028 S
0.717 1.802 7.076 S
2.306 -0.119 10.028 S

[2]
BeTcO2, optimized geometry, DFT PBE-GGA; uncorrected formation energy = -1025 meV/atom; calculated total energy = -28.11 eV for the cell shown; V = 9.82 A^3/atom; symmetry = R-3m; density of states at the Fermi level = 2.10 states/eV/cell
1.0
1.397 0.806 5.816
-1.397 0.806 5.816
0.000 -1.613 5.816
Be Tc O
1 1 2
Cartesian
0.000 0.000 0.000 Be
0.000 0.000 8.725 Tc
0.000 0.000 1.509 O
0.000 0.000 15.940 O

[3]
CsKWCl2, optimized geometry, DFT PBE-GGA; uncorrected formation energy = 663 meV/atom; calculated total energy = -15.28 eV for the cell shown; V = 54.90 A^3/atom; symmetry = P4/mmm; density of states at the Fermi level = 7.54 states/eV/cell
1.0
6.358 0.000 0.000
0.000 6.358 0.000
0.000 0.000 6.790
Cs K W Cl
1 1 1 2
Cartesian
0.000 0.000 0.000 Cs
0.000 0.000 3.395 K
3.179 3.179 3.395 W
0.000 3.179 0.000 Cl
3.179 0.000 0.000 Cl

[4]
Re2NiB2, optimized geometry, DFT PBE-GGA; calculated total energy = -90.21 eV for the cell shown; V = 10.18 A^3/atom; symmetry = P4/mbm; DFT formation energy = -1.1 eV per formula unit; density of states at the Fermi level = 5.27 states/eV/cell
1.0
5.495 0.000 0.000
0.000 5.495 0.000
0.000 0.000 3.370
Re Ni B
4 2 4
Cartesian
0.996 1.752 0.000 Re
1.752 4.500 0.000 Re
3.743 0.996 0.000 Re
4.500 3.743 0.000 Re
0.000 0.000 1.685 Ni
2.748 2.748 1.685 Ni
0.640 3.388 1.685 B
2.108 0.640 1.685 B
3.388 4.855 1.685 B
4.855 2.108 1.685 B

[5]
NaPuCd2, optimized geometry, DFT PBE-GGA; calculated total energy = -17.48 eV for the cell shown; V = 25.82 A^3/atom; symmetry = P4/mmm; DFT formation energy = 0.0 eV per formula unit; density of states at the Fermi level = 10.38 states/eV/cell
1.0
5.810 0.000 0.000
0.000 5.810 0.000
0.000 0.000 3.060
Na Pu Cd
1 1 2
Cartesian
0.000 0.000 0.000 Na
2.905 2.905 0.000 Pu
0.000 2.905 1.530 Cd
2.905 0.000 1.530 Cd

[6]
RbTl6Sn, optimized geometry, DFT PBE-GGA; calculated total energy = -19.34 eV for the cell shown; V = 34.01 A^3/atom; symmetry = R-3m; DFT formation energy = -0.2 eV per formula unit; density of states at the Fermi level = 3.48 states/eV/cell
1.0
2.761 1.594 10.301
-2.761 1.594 10.301
0.000 -3.188 10.301
Rb Tl Sn
1 6 1
Cartesian
0.000 0.000 0.000 Rb
0.000 0.000 4.094 Tl
0.000 0.000 7.615 Tl
0.000 0.000 12.362 Tl
0.000 0.000 18.540 Tl
0.000 0.000 23.287 Tl
0.000 0.000 26.808 Tl
0.000 0.000 15.451 Sn

[7]
Er2Zn3Hg, optimized geometry, DFT PBE-GGA; calculated total energy = -31.15 eV for the cell shown; V = 20.80 A^3/atom; symmetry = Fmmm; DFT formation energy = -2.3 eV per formula unit; density of states at the Fermi level = 6.69 states/eV/cell
1.0
0.000 4.565 7.899
3.461 0.000 7.899
3.461 4.565 0.000
Er Zn Hg
4 6 2
Cartesian
1.730 2.282 3.950 Er
5.191 4.565 7.899 Er
1.730 4.565 7.899 Er
5.191 6.847 11.849 Er
3.461 4.565 2.550 Zn
3.461 2.216 6.621 Zn
3.461 2.216 9.177 Zn
3.461 6.914 6.621 Zn
3.461 6.914 9.177 Zn
3.461 4.565 13.248 Zn
3.461 4.565 5.270 Hg
3.461 4.565 10.528 Hg

[8]
EuNpH2, optimized geometry, DFT PBE-GGA; calculated total energy = -29.98 eV for the cell shown; V = 18.19 A^3/atom; symmetry = R-3m; density of states at the Fermi level = 10.29 states/eV/cell
1.0
1.841 1.063 6.199
-1.841 1.063 6.199
0.000 -2.126 6.199
Eu Np H
1 1 2
Cartesian
0.000 0.000 0.000 Eu
0.000 0.000 9.298 Np
0.000 0.000 2.347 H
0.000 0.000 16.249 H